(1)
Material: Sr2Si3Ni12Rh
Method: DFT, GGA-PBE
State: relaxed

## Properties
Total moment ... 0.00 μB per formula unit
SG ... R-3m (166)
VASP energy ... -5.110 eV per atom
Uncorrected formation energy ... 4.37 eV/f.u.

a b c (Å): 7.4972 7.4972 7.4972
angles (deg): 63.63 63.63 63.63
With the nearest neighbours (Å) after each atom.
Positions (direct):
Ni 0.6396 0.1181 0.1181  1 Si 2.24, 1 Rh 2.31, 2 Ni 2.36
Ni 0.3349 0.3349 0.0181  2 Si 2.29, 4 Ni 2.36-2.50
Ni 0.8819 0.3604 0.8819  1 Si 2.24, 1 Rh 2.31, 2 Ni 2.36
Ni 0.3349 0.0181 0.3349  2 Si 2.29, 4 Ni 2.36-2.50
Ni 0.3604 0.8819 0.8819  1 Si 2.24, 1 Rh 2.31, 2 Ni 2.36
Ni 0.0181 0.3349 0.3349  2 Si 2.29, 4 Ni 2.36-2.50
Ni 0.1181 0.6396 0.1181  1 Si 2.24, 1 Rh 2.31, 2 Ni 2.36
Ni 0.1181 0.1181 0.6396  1 Si 2.24, 1 Rh 2.31, 2 Ni 2.36
Ni 0.6651 0.6651 0.9819  2 Si 2.29, 4 Ni 2.36-2.50
Ni 0.6651 0.9819 0.6651  2 Si 2.29, 4 Ni 2.36-2.50
Ni 0.8819 0.8819 0.3604  1 Si 2.24, 1 Rh 2.31, 2 Ni 2.36
Ni 0.9819 0.6651 0.6651  2 Si 2.29, 4 Ni 2.36-2.50
Si 0.5000 0.0000 0.0000  6 Ni 2.24-2.29
Si 0.0000 0.0000 0.5000  6 Ni 2.24-2.29
Si 0.0000 0.5000 0.0000  6 Ni 2.24-2.29
Sr 0.6044 0.6044 0.6044  9 Ni 3.01-3.30
Sr 0.3956 0.3956 0.3956  9 Ni 3.01-3.30
Rh 0.0000 0.0000 0.0000  6 Ni 2.31

=====

(2)
Material: LaPbN2F
Method: DFT, GGA-PBE
State: relaxed

## Properties
Total moment ... 0.00 μB per formula unit
SG ... P4/mmm (123)
VASP energy ... -5.865 eV per atom
Uncorrected formation energy ... -2.17 eV/f.u.

a b c (Å): 4.3747 4.3747 4.3377
angles (deg): 90.00 90.00 90.00
With the nearest neighbours (Å) after each atom.
Positions (direct):
La 0.5000 0.5000 0.5000  8 N 3.08, 4 F 3.09
N 0.0000 0.5000 0.0000  2 Pb 2.19
N 0.5000 0.0000 0.0000  2 Pb 2.19
F 0.0000 0.0000 0.5000  2 Pb 2.17
Pb 0.0000 0.0000 0.0000  2 F 2.17, 4 N 2.19

=====

(3)
Material: KNaTc3
Method: DFT, GGA-PBE
State: relaxed

## Properties
Total moment ... 3.89 μB per formula unit
Formation energy from the elements ... 3.08 eV/atom
SG ... Pm-3m (221)
Excess energy over the best structure of this formula in the dataset ... 427.0 meV per atom
VASP energy ... -3.623 eV per atom

a b c (Å): 4.6750 4.6750 4.6750
angles (deg): 90.00 90.00 90.00
With the nearest neighbours (Å) after each atom.
Positions (direct):
K 0.0000 0.0000 0.0000  6 Tc 2.34
Na 0.5000 0.5000 0.5000  12 Tc 3.31
Tc 0.0000 0.5000 0.0000  2 K 2.34
Tc 0.0000 0.0000 0.5000  2 K 2.34
Tc 0.5000 0.0000 0.0000  2 K 2.34

=====

(4)
Material: SrAsI6
Method: DFT, GGA-PBE
State: relaxed

## Properties
Total moment ... 0.00 μB per formula unit
SG ... P-1 (2)
VASP energy ... -2.523 eV per atom
Uncorrected formation energy ... -4.55 eV/f.u.

a b c (Å): 7.6973 7.6953 7.9517
angles (deg): 61.07 61.23 60.11
With the nearest neighbours (Å) after each atom.
Positions (direct):
I 0.4093 0.7886 0.7586  1 As 2.89
I 0.7875 0.0426 0.7586  1 As 2.89
I 0.5907 0.2114 0.2414  1 As 2.89
I 0.0430 0.4107 0.7574  1 As 2.89
I 0.2125 0.9574 0.2414  1 As 2.89
I 0.9570 0.5893 0.2426  1 As 2.89
As 0.0000 0.0000 0.0000  6 I 2.89
Sr 0.5000 0.5000 0.5000  6 I 3.34

=====

(5)
Material: YTlCd2
Method: DFT, GGA-PBE
State: relaxed

## Properties
Total moment ... 0.00 μB per formula unit
Formation energy from the elements ... -0.16 eV/atom
SG ... Pmmm (47)
Excess energy over the best structure of this formula in the dataset ... 111.3 meV per atom
VASP energy ... -2.827 eV per atom

a b c (Å): 5.1282 3.3746 6.0158
angles (deg): 90.04 90.00 90.00
With the nearest neighbours (Å) after each atom.
Positions (direct):
Y 0.5000 0.7500 0.7500  2 Y 3.37, 8 Cd 3.39, 4 Tl 3.45
Cd 0.0000 0.2506 0.9879  2 Cd 2.86-3.15, 2 Tl 3.01
Cd 0.0000 0.2494 0.5121  2 Cd 2.86-3.15, 2 Tl 3.01
Tl 0.5000 0.2500 0.2500  4 Cd 3.01

=====

(6)
Material: Ag2Se
Method: DFT, GGA-PBE
State: relaxed

## Properties
Total moment ... 0.00 μB per formula unit
SG ... P-3m1 (164)
VASP energy ... -2.957 eV per atom
Uncorrected formation energy ... 0.32 eV/f.u.

a b c (Å): 4.8547 4.8548 2.9012
angles (deg): 90.00 90.00 120.00
With the nearest neighbours (Å) after each atom.
Positions (direct):
Ag 0.6667 0.3333 0.7888  3 Se 2.87, 5 Ag 2.90-3.06
Ag 0.3333 0.6667 0.2112  3 Se 2.87, 5 Ag 2.90-3.06
Se 0.0000 0.0000 0.0000  6 Ag 2.87, 2 Se 2.90